1.
5
Lattice="4.128 0.000 0.000 0.000 4.128 0.000 0.000 0.000 3.667" Properties=species:S:1:pos:R:3 comment="Ti2HIrRh, optimized geometry, DFT PBE" polymorph_energy_ev_per_atom=0.027 dft_energy_ev_per_atom=-7.6898 dos_at_fermi_per_ev_cell=5.16 pbc="T T T"
Ir 0.000 0.000 1.833
Ti 0.000 2.064 0.000
Rh 2.064 2.064 1.833
H 0.000 0.000 0.000
Ti 2.064 0.000 0.000



2.
10
Lattice="-2.365 -2.403 -1.895 1.008 -3.965 3.770 -9.914 5.893 8.847" Properties=species:S:1:pos:R:3 comment="Ca2PrCd2, optimized geometry, DFT PBE" polymorph_energy_ev_per_atom=0.000 dft_energy_ev_per_atom=-2.3688 delta_e_f_kj_per_mol_atoms=-23.8 dos_at_fermi_per_ev_cell=8.92 pbc="T T T"
Cd -2.046 -1.722 0.788
Ca -4.344 -0.817 6.459
Pr -2.911 0.345 3.193
Cd -7.806 2.416 6.679
Ca -0.248 -2.549 3.542
Ca -11.023 2.074 7.180
Cd -9.225 1.247 9.934
Cd -3.465 -2.890 4.043
Pr -8.360 -0.820 7.529
Ca -6.927 0.342 4.263



3.
8
Lattice="3.842 0.000 0.000 0.000 3.842 0.000 1.921 1.921 8.821" Properties=species:S:1:pos:R:3 comment="MgNiPt2, optimized geometry, DFT PBE" dft_energy_ev_per_atom=-4.9606 delta_e_f_kj_per_mol_atoms=-9.3 dos_at_fermi_per_ev_cell=6.92 pbc="T T T"
Ni 0.000 0.000 0.000
Pt 2.931 0.960 2.205
Mg 1.921 3.842 4.410
Pt 2.881 2.832 6.615
Pt 0.911 2.881 2.205
Ni 3.842 1.921 4.410
Mg 1.921 1.921 0.000
Pt 4.802 4.851 6.615



4.
9
Lattice="3.986 0.000 0.000 0.000 7.688 0.339 -1.993 -2.749 6.743" Properties=species:S:1:pos:R:3 comment="UTl2Pd2S4, optimized geometry, DFT PBE" raw_formation_energy_ev_per_fu=-6.531 dft_energy_ev_per_atom=-5.4941 dos_at_fermi_per_ev_cell=3.37 pbc="T T T"
S 1.993 4.637 4.500
S 0.000 -0.956 6.699
Pd 1.993 6.623 2.728
S 1.993 5.895 0.383
U 0.000 0.000 0.000
Tl 1.993 1.101 4.950
Pd 0.000 -1.683 4.354
Tl 0.000 3.838 2.132
S 0.000 0.302 2.582



5.
18
Lattice="-9.490 -1.829 10.643 -5.018 -7.221 1.765 -4.031 -5.088 12.827" Properties=species:S:1:pos:R:3 comment="Rb2TeSe6, optimized geometry, DFT PBE" polymorph_energy_ev_per_atom=0.032 raw_formation_energy_ev_per_fu=-3.511 dft_energy_ev_per_atom=-3.2772 pbc="T T T"
Se -15.934 -10.824 21.514
Te -13.216 -7.267 11.981
Se -12.287 -7.892 21.086
Rb -12.459 -8.428 16.434
Se -10.330 -10.895 14.517
Se -8.102 -8.416 12.647
Se -5.477 -4.262 5.222
Rb -8.828 -5.488 16.001
Rb -6.079 -5.710 8.801
Rb -9.711 -8.650 9.234
Se -8.209 -3.244 10.718
Se -2.605 -3.314 3.721
Se -6.252 -6.246 4.149
Se -6.875 -8.536 6.550
Se -11.664 -5.602 18.685
Se -13.062 -9.876 20.013
Te -5.322 -6.872 13.254
Se -10.437 -5.722 12.588



6.
4
Lattice="4.856 0.000 0.000 2.428 4.205 0.000 2.428 1.402 4.458" Properties=species:S:1:pos:R:3 comment="TmGa2Sn, optimized geometry, DFT PBE" polymorph_energy_ev_per_atom=0.245 dft_energy_ev_per_atom=-3.8369 delta_e_f_kj_per_mol_atoms=-19.8 dos_at_fermi_per_ev_cell=1.95 pbc="T T T"
Tm 4.856 2.803 2.229
Ga 7.284 4.205 3.453
Ga 2.428 1.402 1.005
Sn 0.000 0.000 0.000